# 1
A relaxed structure of GeP2Cl. Source: Alexandria, functional PBE.

## Properties
Formation energy from raw total energies (kJ/mol of atoms): 50
Symmetry: I-42d
Energy relative to the lowest polymorph listed for this composition (meV per atom): 0.0

abc: 6.4726 6.4726 6.4579
angles: 59.92 59.92 90.00
Fractional coordinates of all 8 atoms:
1 P 0.3750 0.3277 0.7500
2 P 0.8750 0.9223 0.7500
3 P 0.6723 0.1250 0.2500
4 P 0.0777 0.6250 0.2500
5 Ge 0.0000 0.0000 0.0000
6 Ge 0.7500 0.2500 0.5000
7 Cl 0.2500 0.7500 0.5000
8 Cl 0.5000 0.5000 0.0000

---

# 2
A relaxed structure of Tl17Cd11Ge. Source: Alexandria, functional PBE.

## Properties
Energy of formation from the pure elements (eV/atom): 0.04
Symmetry: Cm

abc: 10.3563 10.3563 9.9522
angles: 109.24 109.24 111.14
Fractional coordinates of all 29 atoms:
1 Ge 0.3686 0.3686 0.2078
2 Tl 0.6455 0.6455 0.6351
3 Tl 0.3083 0.6097 0.9969
4 Tl 0.3515 0.0049 0.0064
5 Tl 0.6904 0.2878 0.6846
6 Tl 0.3217 0.0071 0.5986
7 Tl 0.9934 0.9934 0.3622
8 Tl 0.6077 0.9977 0.3203
9 Tl 0.6622 0.6622 0.2703
10 Tl 0.0071 0.3217 0.5986
11 Tl 0.0013 0.0013 0.9988
12 Tl 0.7091 0.3874 0.3885
13 Tl 0.0049 0.3515 0.0064
14 Tl 0.2878 0.6904 0.6846
15 Tl 0.9977 0.6077 0.3203
16 Tl 0.3874 0.7091 0.3885
17 Tl 0.4038 0.4038 0.7258
18 Tl 0.6097 0.3083 0.9969
19 Cd 0.8115 0.6360 0.9979
20 Cd 0.0076 0.8294 0.6382
21 Cd 0.8294 0.0076 0.6382
22 Cd 0.2054 0.2054 0.8508
23 Cd 0.1766 0.8167 0.1782
24 Cd 0.1761 0.3607 0.3648
25 Cd 0.6316 0.9904 0.8003
26 Cd 0.3607 0.1761 0.3648
27 Cd 0.8167 0.1766 0.1782
28 Cd 0.9904 0.6316 0.8003
29 Cd 0.6360 0.8115 0.9979

---

# 3
A relaxed structure of ReHg3P. Source: Alexandria, functional PBE.

## Properties
Energy of formation from the pure elements (eV/atom): 1.44
Symmetry: Pm-3m
Energy relative to the lowest polymorph listed for this composition (meV per atom): 6.8

abc: 5.1110 5.1110 5.1110
angles: 90.00 90.00 90.00
Site moments in Bohr magnetons follow the coordinates.
Fractional coordinates of all 5 atoms:
1 Hg 0.0000 0.5000 0.0000  0.00
2 Hg 0.0000 0.0000 0.5000  0.05
3 Hg 0.5000 0.0000 0.0000  0.00
4 Re 0.5000 0.5000 0.5000  3.71
5 P 0.0000 0.0000 0.0000  0.03

---

# 4
A relaxed structure of K2BaTe. Source: Alexandria, functional PBE.

## Properties
Formation energy from raw total energies (kJ/mol of atoms): -42
Symmetry: F-43m

abc: 6.3949 6.3949 6.3949
angles: 60.00 60.00 60.00
Fractional coordinates of all 4 atoms:
1 Te 0.7500 0.7500 0.7500
2 Ba 0.5000 0.5000 0.5000
3 K 0.0000 0.0000 0.0000
4 K 0.2500 0.2500 0.2500

---

# 5
A relaxed structure of TiGaRh3. Source: Alexandria, functional PBE.

## Properties
Energy of formation from the pure elements (eV/atom): 0.37
Symmetry: Pm-3m
Energy relative to the lowest polymorph listed for this composition (meV per atom): 896.6

abc: 4.4661 4.4661 4.4661
angles: 90.00 90.00 90.00
Fractional coordinates of all 5 atoms:
1 Rh 0.0000 0.0000 0.5000
2 Rh 0.0000 0.5000 0.0000
3 Rh 0.5000 0.0000 0.0000
4 Ga 0.0000 0.0000 0.0000
5 Ti 0.5000 0.5000 0.5000

---

# 6
A relaxed structure of LaMo2Se. Source: Alexandria, functional PBE.

## Properties
Formation energy from raw total energies (kJ/mol of atoms): 59
Symmetry: Cmmm

abc: 5.3959 5.3959 3.1114
angles: 90.00 90.00 117.14
Fractional coordinates of all 4 atoms:
1 Mo 0.5000 0.5000 0.0000
2 Mo 0.0000 0.0000 0.0000
3 La 0.0000 0.5000 0.5000
4 Se 0.5000 0.0000 0.5000